[1]
# LaSmMoN3

A relaxed structure of LaSmMoN3 (GGA-PBE, Alexandria via LeMat-Bulk).

Cell: 6.7130 3.5109 9.1563 Å, 90.00 99.53 90.00°
With the nearest neighbours (Å) after each atom.
Atoms (fractional coordinates):
La: 0.2425 0.2500 0.2507  3 N 2.40-2.49
La: 0.7575 0.7500 0.7493  3 N 2.40-2.49
Sm: 0.1830 0.2500 0.6271  6 N 2.42-2.70
Sm: 0.8170 0.7500 0.3729  6 N 2.42-2.70
Mo: 0.3713 0.7500 0.9207  1 N 1.87
Mo: 0.6287 0.2500 0.0793  1 N 1.87
N: 0.1193 0.7500 0.7982  1 Mo 1.87
N: 0.1822 0.7500 0.4305  3 Sm 2.42-2.51, 2 La 2.49
N: 0.4939 0.7500 0.1533  3 Mo 2.14-2.15
N: 0.5061 0.2500 0.8467  3 Mo 2.14-2.15
N: 0.8178 0.2500 0.5695  3 Sm 2.42-2.51, 2 La 2.49
N: 0.8807 0.2500 0.2018  1 Mo 1.87

The formation energy (no corrections) is -5.90 eV per formula unit. The value obtained for the total DFT energy (no corrections) is -8.56 eV/atom.

=====

[2]
# Nd6Ho5Th

A relaxed structure of Nd6Ho5Th (GGA-PBE, Alexandria via LeMat-Bulk).

Cell: 9.5400 9.5400 9.5400 Å, 148.89 115.45 73.39°
With the nearest neighbours (Å) after each atom.
Atoms (fractional coordinates):
Nd: 0.0855 0.3354 0.7500  7 Ho 3.58-3.65, 1 Th 3.58, 4 Nd 3.59-3.66
Nd: 0.2482 0.0000 0.2482  6 Ho 3.56-3.63, 4 Nd 3.59, 2 Th 3.60
Nd: 0.4146 0.6646 0.7500  7 Ho 3.58-3.65, 1 Th 3.58, 4 Nd 3.59-3.66
Nd: 0.5854 0.3354 0.2500  7 Ho 3.58-3.65, 1 Th 3.58, 4 Nd 3.59-3.66
Nd: 0.7518 0.0000 0.7518  6 Ho 3.56-3.63, 4 Nd 3.59, 2 Th 3.60
Nd: 0.9145 0.6646 0.2500  7 Ho 3.58-3.65, 1 Th 3.58, 4 Nd 3.59-3.66
Ho: 0.1642 0.1642 0.0000  8 Nd 3.56-3.65, 2 Th 3.59, 2 Ho 3.63
Ho: 0.3321 0.8321 0.5000  8 Nd 3.61-3.63, 4 Ho 3.63
Ho: 0.5000 0.5000 0.0000  8 Nd 3.58-3.62, 4 Ho 3.63
Ho: 0.6679 0.1679 0.5000  8 Nd 3.61-3.63, 4 Ho 3.63
Ho: 0.8358 0.8358 0.0000  8 Nd 3.56-3.65, 2 Th 3.59, 2 Ho 3.63
Th: 0.0000 0.5000 0.5000  8 Nd 3.58-3.60, 4 Ho 3.59

The calculation puts the formation energy at 32 meV per atom. The value obtained for the total DFT energy (no corrections) is -4.88 eV/atom.

=====

[3]
# RbBiTeO6

A relaxed structure of RbBiTeO6 (GGA-PBE, Alexandria via LeMat-Bulk).

Cell: 5.5095 5.5095 6.4174 Å, 90.00 90.00 120.00°
With the nearest neighbours (Å) after each atom.
Atoms (fractional coordinates):
Rb: 0.0000 0.0000 0.0000  6 O 2.96
Bi: 0.6667 0.3333 0.5000  6 O 2.16
Te: 0.3333 0.6667 0.5000  6 O 1.98
O: 0.0250 0.3976 0.3199  1 Te 1.98, 1 Bi 2.16
O: 0.0250 0.6273 0.6801  1 Te 1.98, 1 Bi 2.16
O: 0.3727 0.3976 0.6801  1 Te 1.98, 1 Bi 2.16
O: 0.3727 0.9750 0.3199  1 Te 1.98, 1 Bi 2.16
O: 0.6024 0.6273 0.3199  1 Te 1.98, 1 Bi 2.16
O: 0.6024 0.9750 0.6801  1 Te 1.98, 1 Bi 2.16

The formation energy (no corrections) is -10.07 eV per formula unit. The value obtained for the total DFT energy (no corrections) is -5.31 eV/atom.

=====

[4]
# Hg2PbCl8

A relaxed structure of Hg2PbCl8 (GGA-PBE, Alexandria via LeMat-Bulk).

Cell: 8.0008 8.0008 6.9178 Å, 99.11 99.11 59.15°
With the nearest neighbours (Å) after each atom.
Atoms (fractional coordinates):
Hg: 0.2034 0.2034 0.2074  3 Cl 2.33-2.57
Hg: 0.7966 0.7966 0.7926  3 Cl 2.33-2.57
Pb: 0.0000 0.0000 0.5000  6 Cl 2.51-2.65
Cl: 0.1377 0.6894 0.6963  1 Hg 2.57, 1 Pb 2.65
Cl: 0.1515 0.1515 0.7604  1 Pb 2.51
Cl: 0.3106 0.8623 0.3037  1 Hg 2.57, 1 Pb 2.65
Cl: 0.3600 0.3600 0.1320  1 Hg 2.33
Cl: 0.6400 0.6400 0.8680  1 Hg 2.33
Cl: 0.6894 0.1377 0.6963  1 Hg 2.57, 1 Pb 2.65
Cl: 0.8485 0.8485 0.2396  1 Pb 2.51
Cl: 0.8623 0.3106 0.3037  1 Hg 2.57, 1 Pb 2.65

The formation energy (no corrections) is -6.04 eV per formula unit. The calculation puts the energy relative to the lowest polymorph listed for this composition at 13.6 meV per atom. The value obtained for the total DFT energy (no corrections) is -2.28 eV/atom.

=====

[5]
# YTm3Sc2Bi6

A relaxed structure of YTm3Sc2Bi6 (GGA-PBE, Alexandria via LeMat-Bulk).

Cell: 9.8070 9.8070 8.7787 Å, 102.87 102.87 25.85°
With the nearest neighbours (Å) after each atom.
Atoms (fractional coordinates):
Y: 0.0000 0.0000 0.0000  6 Bi 3.12-3.14
Tm: 0.0000 0.0000 0.5000  6 Bi 3.09-3.15
Tm: 0.3354 0.3354 0.1685  6 Bi 3.10-3.15
Tm: 0.6646 0.6646 0.8315  6 Bi 3.10-3.15
Sc: 0.3325 0.3325 0.6667  6 Bi 3.04-3.06
Sc: 0.6675 0.6675 0.3333  6 Bi 3.04-3.06
Bi: 0.1687 0.1687 0.0913  2 Sc 3.06, 3 Tm 3.10-3.15, 1 Y 3.14
Bi: 0.1692 0.1692 0.5765  3 Sc 3.04-3.06, 3 Tm 3.15
Bi: 0.4963 0.4963 0.7453  1 Sc 3.05, 3 Tm 3.09-3.13, 2 Y 3.12
Bi: 0.5037 0.5037 0.2547  1 Sc 3.05, 3 Tm 3.09-3.13, 2 Y 3.12
Bi: 0.8308 0.8308 0.4235  3 Sc 3.04-3.06, 3 Tm 3.15
Bi: 0.8313 0.8313 0.9087  2 Sc 3.06, 3 Tm 3.10-3.15, 1 Y 3.14

The calculation puts the formation energy at -754 meV per atom. The value obtained for the total DFT energy (no corrections) is -5.41 eV/atom.

=====

[6]
# CuSiPO2

A relaxed structure of CuSiPO2 (GGA-PBE, Alexandria via LeMat-Bulk).

Cell: 3.3572 3.3572 5.5171 Å, 90.00 90.00 90.00°
With the nearest neighbours (Å) after each atom.
Atoms (fractional coordinates):
Cu: 0.0000 0.0000 0.0000  4 P 2.37
Si: 0.5000 0.5000 0.5000  4 O 1.68
P: 0.5000 0.5000 0.0000  4 Cu 2.37
O: 0.0000 0.5000 0.5000  2 Si 1.68
O: 0.5000 0.0000 0.5000  2 Si 1.68

The formation energy (no corrections) is -4.22 eV per formula unit. The calculation puts the energy relative to the lowest polymorph listed for this composition at 0.0 meV per atom. The value obtained for the total DFT energy (no corrections) is -5.81 eV/atom.

=====

[7]
# Rb10Te4Se

A relaxed structure of Rb10Te4Se (GGA-PBE, Alexandria via LeMat-Bulk).

Cell: 10.3920 10.3920 10.3920 Å, 99.62 99.62 131.74°
With the nearest neighbours (Å) after each atom.
Atoms (fractional coordinates):
Rb: 0.0484 0.1454 0.7082  1 Se 3.57, 3 Te 3.69-3.71
Rb: 0.1454 0.4372 0.0970  1 Se 3.57, 3 Te 3.69-3.71
Rb: 0.2500 0.7500 0.5000  4 Te 3.70
Rb: 0.3402 0.0484 0.9030  1 Se 3.57, 3 Te 3.69-3.71
Rb: 0.4372 0.3402 0.2918  1 Se 3.57, 3 Te 3.69-3.71
Rb: 0.5628 0.6598 0.7082  1 Se 3.57, 3 Te 3.69-3.71
Rb: 0.6598 0.9516 0.0970  1 Se 3.57, 3 Te 3.69-3.71
Rb: 0.7500 0.2500 0.5000  4 Te 3.70
Rb: 0.8546 0.5628 0.9030  1 Se 3.57, 3 Te 3.69-3.71
Rb: 0.9516 0.8546 0.2918  1 Se 3.57, 3 Te 3.69-3.71
Te: 0.2018 0.6008 0.8026  8 Rb 3.69-3.71
Te: 0.3992 0.2018 0.6010  8 Rb 3.69-3.71
Te: 0.6008 0.7982 0.3990  8 Rb 3.69-3.71
Te: 0.7982 0.3992 0.1974  8 Rb 3.69-3.71
Se: 0.0000 0.0000 0.0000  8 Rb 3.57

The formation energy (no corrections) is -15.17 eV per formula unit. The value obtained for the total DFT energy (no corrections) is -2.73 eV/atom.

=====

[8]
# RbAgPCl2

A relaxed structure of RbAgPCl2 (GGA-PBE, Alexandria via LeMat-Bulk).

Cell: 6.1053 6.1053 6.2041 Å, 90.00 90.00 90.00°
With the nearest neighbours (Å) after each atom.
Atoms (fractional coordinates):
Rb: 0.0000 0.0000 0.0000  4 Cl 3.05, 2 P 3.10
Ag: 0.5000 0.5000 0.5000  4 P 4.32, 8 Cl 4.35
P: 0.0000 0.0000 0.5000  2 Rb 3.10
Cl: 0.0000 0.5000 0.0000  2 Rb 3.05
Cl: 0.5000 0.0000 0.0000  2 Rb 3.05

The formation energy (no corrections) is 2.17 eV per formula unit. The calculation puts the energy relative to the lowest polymorph listed for this composition at 832.7 meV per atom. The value obtained for the total DFT energy (no corrections) is -2.15 eV/atom.

=====

[9]
# TlTc2P

A relaxed structure of TlTc2P (GGA-PBE, Alexandria via LeMat-Bulk).

Cell: 6.9840 6.9840 6.9840 Å, 29.47 29.47 29.47°
With the nearest neighbours (Å) after each atom.
Atoms (fractional coordinates):
Tl: 0.0000 0.0000 0.0000  6 Tc 3.08
Tc: 0.2184 0.2184 0.2184  3 P 2.30
Tc: 0.7816 0.7816 0.7816  3 P 2.30
P: 0.5000 0.5000 0.5000  6 Tc 2.30

The calculation puts the formation energy at 74 meV per atom. The calculation puts the energy relative to the lowest polymorph listed for this composition at 29.8 meV per atom. The value obtained for the total DFT energy (no corrections) is -7.05 eV/atom.

=====

[10]
# Ba2Sb4IrPd3

A relaxed structure of Ba2Sb4IrPd3 (GGA-PBE, Alexandria via LeMat-Bulk).

Cell: 4.7624 4.7624 10.9131 Å, 90.00 90.00 90.00°
With the nearest neighbours (Å) after each atom.
Atoms (fractional coordinates):
Ba: 0.0000 0.5000 0.2458  2 Ir 3.59, 6 Pd 3.59-3.64, 9 Sb 3.64-3.98
Ba: 0.5000 0.0000 0.7542  2 Ir 3.59, 6 Pd 3.59-3.64, 9 Sb 3.64-3.98
Sb: 0.0000 0.0000 0.5000  4 Pd 2.76
Sb: 0.0000 0.5000 0.8808  2 Ir 2.71, 3 Pd 2.71-2.76
Sb: 0.5000 0.0000 0.1192  2 Ir 2.71, 3 Pd 2.71-2.76
Sb: 0.5000 0.5000 0.5000  4 Pd 2.76
Ir: 0.5000 0.5000 0.0000  4 Sb 2.71
Pd: 0.0000 0.0000 0.0000  4 Sb 2.71
Pd: 0.0000 0.5000 0.6276  5 Sb 2.76
Pd: 0.5000 0.0000 0.3724  5 Sb 2.76

The formation energy (no corrections) is -6.97 eV per formula unit. The value obtained for the total DFT energy (no corrections) is -5.17 eV/atom.

=====

[11]
# SiHgAsH

A relaxed structure of SiHgAsH (GGA-PBE, Alexandria via LeMat-Bulk).

Cell: 3.6713 3.6713 8.9596 Å, 101.28 101.28 60.01°
With the nearest neighbours (Å) after each atom.
Atoms (fractional coordinates):
Si: 0.0000 0.0000 0.0000  1 H 1.51
Hg: 0.1738 0.1738 0.4974  1 H 2.84
As: 0.6271 0.6271 0.8758  3 Si 2.38
H: 0.0552 0.0552 0.1726  1 Si 1.51

The value obtained for the total DFT energy (no corrections) is -3.44 eV/atom.

=====

[12]
# Mo3Br

A relaxed structure of Mo3Br (GGA-PBE, Alexandria via LeMat-Bulk).

Cell: 5.7425 5.7425 4.5460 Å, 90.00 90.00 86.94°
With the nearest neighbours (Å) after each atom.
Atoms (fractional coordinates):
Mo: 0.0719 0.2528 0.7500  6 Mo 2.59-2.76, 1 Br 2.62
Mo: 0.1886 0.8114 0.7500  6 Mo 2.59-2.76, 2 Br 2.70
Mo: 0.2528 0.0719 0.2500  6 Mo 2.59-2.76, 1 Br 2.62
Mo: 0.7472 0.9281 0.7500  6 Mo 2.59-2.76, 1 Br 2.62
Mo: 0.8114 0.1886 0.2500  6 Mo 2.59-2.76, 2 Br 2.70
Mo: 0.9281 0.7472 0.2500  6 Mo 2.59-2.76, 1 Br 2.62
Br: 0.3741 0.6259 0.2500  4 Mo 2.62-2.70
Br: 0.6259 0.3741 0.7500  4 Mo 2.62-2.70

The formation energy (no corrections) is 2.78 eV per formula unit. The calculation puts the energy relative to the lowest polymorph listed for this composition at 264.8 meV per atom. The value obtained for the total DFT energy (no corrections) is -7.85 eV/atom.

=====

[13]
# Al4CrFe

A relaxed structure of Al4CrFe (GGA-PBE, Alexandria via LeMat-Bulk).

Cell: 5.0401 5.0401 5.0401 Å, 60.00 60.00 60.00°
With the nearest neighbours (Å) after each atom.
Atoms (fractional coordinates):
Al: 0.1252 0.1252 0.1252  6 Al 2.52
Al: 0.1252 0.1252 0.6244  6 Al 2.52
Al: 0.1252 0.6244 0.1252  6 Al 2.52
Al: 0.6244 0.1252 0.1252  6 Al 2.52
Cr: 0.5000 0.5000 0.5000  12 Al 2.95, 4 Fe 3.09
Fe: 0.7500 0.7500 0.7500  12 Al 2.96, 4 Cr 3.09

The calculation puts the formation energy at 199 meV per atom. The value obtained for the total DFT energy (no corrections) is -5.31 eV/atom.

=====

[14]
# Rb2MgAsBr6

A relaxed structure of Rb2MgAsBr6 (GGA-PBE, Alexandria via LeMat-Bulk).

Cell: 8.0431 8.0431 8.0431 Å, 122.93 122.93 84.99°
With the nearest neighbours (Å) after each atom.
Atoms (fractional coordinates):
Rb: 0.2500 0.7500 0.5000  12 Br 3.86-4.02
Rb: 0.7500 0.2500 0.5000  12 Br 3.86-4.02
Mg: 0.0000 0.0000 0.0000  6 Br 2.55-2.79
As: 0.5000 0.5000 0.0000  4 Br 2.64
Br: 0.2152 0.2152 0.0000  1 Mg 2.55
Br: 0.2567 0.2567 0.5133  1 As 2.64, 1 Mg 2.79
Br: 0.2567 0.7433 0.0000  1 As 2.64, 1 Mg 2.79
Br: 0.7433 0.2567 0.0000  1 As 2.64, 1 Mg 2.79
Br: 0.7433 0.7433 0.4867  1 As 2.64, 1 Mg 2.79
Br: 0.7848 0.7848 0.0000  1 Mg 2.55

The formation energy (no corrections) is -11.35 eV per formula unit. The value obtained for the total DFT energy (no corrections) is -2.96 eV/atom.

=====

[15]
# SiWI3

A relaxed structure of SiWI3 (GGA-PBE, Alexandria via LeMat-Bulk).

Cell: 5.5403 5.5403 5.5403 Å, 90.00 90.00 90.00°
With the nearest neighbours (Å) after each atom.
Atoms (fractional coordinates):
Si: 0.0000 0.0000 0.0000  12 I 3.92
W: 0.5000 0.5000 0.5000  6 I 2.77
I: 0.0000 0.5000 0.5000  2 W 2.77
I: 0.5000 0.0000 0.5000  2 W 2.77
I: 0.5000 0.5000 0.0000  2 W 2.77

The formation energy (no corrections) is 5.51 eV per formula unit. The calculation puts the energy relative to the lowest polymorph listed for this composition at 0.0 meV per atom. The value obtained for the total DFT energy (no corrections) is -3.50 eV/atom.